No. 1
BaCdFe | meta-GGA SCAN | single point on PBEsol structure

Values from the calculation:
Size of the total moment: 3.00 μB per cell
Energy of formation: 52.3 kJ per mole of atoms
Uncorrected energy: -28.823 eV/atom

Geometry as POSCAR:
```
BaCdFe
1.0
0.0000 3.4747 3.4747
3.4747 0.0000 3.4747
3.4747 3.4747 0.0000
Ba Cd Fe
1 1 1
Direct
0.0000 0.0000 0.0000
0.5000 0.5000 0.5000
0.2500 0.2500 0.2500
```

No. 2
Tl2SiAu | meta-GGA SCAN | single point on PBEsol structure

Values from the calculation:
Excess energy over the best structure of this formula in the dataset: 0 meV per atom
Size of the total moment: 0.00 μB per cell
Uncorrected energy: -55.976 eV/atom
Formation energy (no corrections): -1 kJ/mol of formula units

Geometry as POSCAR:
```
Tl2SiAu
1.0
3.6078 -2.0980 0.0000
3.6078 2.0980 0.0000
-2.4010 0.0000 6.5659
Tl Si Au
2 1 1
Direct
0.0000 0.0000 0.0000
0.2100 0.2100 0.6318
0.7684 0.7684 0.3032
0.4439 0.4439 0.3327
```

No. 3
Fe3AgBr | meta-GGA SCAN | single point on PBEsol structure

Values from the calculation:
Size of the total moment: 6.38 μB per cell
Uncorrected energy: -19.877 eV/atom
Formation energy (no corrections): 562 kJ/mol of formula units

Geometry as POSCAR:
```
Fe3AgBr
1.0
4.2940 0.0000 0.0000
0.0000 4.2940 0.0000
0.0000 0.0000 4.2940
Fe Ag Br
3 1 1
Direct
0.0000 0.0000 0.5000
0.0000 0.5000 0.0000
0.5000 0.0000 0.0000
0.5000 0.5000 0.5000
0.0000 0.0000 0.0000
```

No. 4
NbInOF2 | meta-GGA SCAN | single point on PBEsol structure

Values from the calculation:
Size of the total moment: 3.76 μB per cell
Uncorrected energy: -17.055 eV/atom
Formation energy (no corrections): -526 kJ/mol of formula units

Geometry as POSCAR:
```
NbInOF2
1.0
4.2632 0.0000 0.0000
0.0000 4.2632 0.0000
0.0000 0.0000 4.1459
Nb In O F
1 1 1 2
Direct
0.0000 0.0000 0.0000
0.5000 0.5000 0.5000
0.5000 0.5000 0.0000
0.0000 0.5000 0.5000
0.5000 0.0000 0.5000
```

No. 5
LiP2Cl | meta-GGA SCAN | single point on PBEsol structure

Values from the calculation:
Excess energy over the best structure of this formula in the dataset: 0 meV per atom
Size of the total moment: 0.00 μB per cell
Uncorrected energy: -8.489 eV/atom
Formation energy (no corrections): -269 kJ/mol of formula units

Geometry as POSCAR:
```
LiP2Cl
1.0
3.4006 0.0000 0.0000
0.0000 3.2182 0.0000
-1.4719 0.0000 7.7123
Li P Cl
1 2 1
Direct
0.0000 0.0000 0.0000
0.0763 0.5000 0.4715
0.9664 0.0000 0.6375
0.5116 0.5000 0.0249
```

No. 6
In3CoRe | meta-GGA SCAN | single point on PBEsol structure

Values from the calculation:
Size of the total moment: 4.10 μB per cell
Energy of formation: 114.8 kJ per mole of atoms
Uncorrected energy: -36.522 eV/atom

Geometry as POSCAR:
```
In3CoRe
1.0
4.7429 0.0000 0.0000
0.0000 4.7429 0.0000
0.0000 0.0000 4.7429
In Co Re
3 1 1
Direct
0.0000 0.0000 0.5000
0.0000 0.5000 0.0000
0.5000 0.0000 0.0000
0.0000 0.0000 0.0000
0.5000 0.5000 0.5000
```

No. 7
Be2SiPH | meta-GGA SCAN | single point on PBEsol structure

Values from the calculation:
Size of the total moment: 0.00 μB per cell
Uncorrected energy: -5.869 eV/atom

Geometry as POSCAR:
```
Be2SiPH
1.0
3.6783 0.0000 0.0000
0.0000 3.6783 0.0000
0.0000 0.0000 3.5413
Be Si P H
2 1 1 1
Direct
0.0000 0.5000 0.0000
0.5000 0.0000 0.0000
0.0000 0.0000 0.5000
0.5000 0.5000 0.5000
0.0000 0.0000 0.0000
```

No. 8
AlInIr2 | meta-GGA SCAN | single point on PBEsol structure

Values from the calculation:
Size of the total moment: 0.00 μB per cell
Energy of formation: -25.7 kJ per mole of atoms
Uncorrected energy: -46.101 eV/atom

Geometry as POSCAR:
```
AlInIr2
1.0
-1.5050 2.1559 4.7807
1.5050 -2.1559 4.7807
1.5050 2.1559 -4.7807
Al In Ir
1 1 2
Direct
0.0000 0.0000 0.0000
0.2652 0.7652 0.5000
0.5269 0.5269 0.0000
0.7900 0.2900 0.5000
```

Please write out number 4 again, unchanged.
NbInOF2 | meta-GGA SCAN | single point on PBEsol structure

Values from the calculation:
Size of the total moment: 3.76 μB per cell
Uncorrected energy: -17.055 eV/atom
Formation energy (no corrections): -526 kJ/mol of formula units

Geometry as POSCAR:
```
NbInOF2
1.0
4.2632 0.0000 0.0000
0.0000 4.2632 0.0000
0.0000 0.0000 4.1459
Nb In O F
1 1 1 2
Direct
0.0000 0.0000 0.0000
0.5000 0.5000 0.5000
0.5000 0.5000 0.0000
0.0000 0.5000 0.5000
0.5000 0.0000 0.5000
```